This record from the Alexandria database describes a crystal of Al2PbAu relaxed with PBEsol. The functional is SCAN.

Geometry as POSCAR:
```
Al2PbAu
1.0
4.2452 0.0000 0.0000
2.1226 3.6764 0.0000
2.1226 1.2255 5.5315
Pb Au Al
1 1 2
Direct
0.5000 0.5000 0.5000
0.0000 0.0000 0.0000
0.7148 0.7148 0.8558
0.2852 0.2852 0.1442
```

Values from the calculation:
**ΔH_f (0 K)**: -0.89 eV per formula unit
**Density**: 8.81 g cm⁻³
**SG**: R-3m